VInIrO6: optimized geometry, PBE with a Hubbard U.

The structure in POSCAR format:
```
VInIrO6
1.0
4.672 0.000 0.000
0.000 4.672 0.000
0.000 0.000 9.549
V In Ir O
2 2 2 12
Direct
0.000 0.000 0.000 V
0.500 0.500 0.500 V
0.000 0.000 0.335 In
0.500 0.500 0.835 In
0.000 0.000 0.669 Ir
0.500 0.500 0.169 Ir
0.180 0.180 0.836 O
0.207 0.207 0.157 O
0.209 0.209 0.514 O
0.291 0.709 0.014 O
0.293 0.707 0.657 O
0.320 0.680 0.336 O
0.680 0.320 0.336 O
0.707 0.293 0.657 O
0.709 0.291 0.014 O
0.791 0.791 0.514 O
0.793 0.793 0.157 O
0.820 0.820 0.836 O
```

Total energy, eV/atom: -6.739